[1]
KYClF2 (GGA-PBE, relaxed); energy relative to the elements, uncorrected = -13.3 eV per formula unit; crystal system = tetragonal; SG = P4/mmm, No. 123; volume = 23.33 A^3/atom; total magnetic moment = 0.664 μB per formula unit; E = -26.4 eV for the cell shown
1.0
-0.321 -4.404 1.038
4.520 -0.264 0.275
-0.258 1.318 5.509
Y K F Cl
1 1 2 1
direct
0.000 0.000 0.000
0.500 0.500 0.500
0.500 0.000 0.000
0.000 0.500 0.000
0.000 0.000 0.500

=====

[2]
K3Zn2Cl2F5 (GGA-PBE, relaxed); energy relative to the elements, uncorrected = -27.6 eV per formula unit; crystal system = tetragonal; SG = I4/mmm, No. 139; volume = 17.78 A^3/atom; total magnetic moment = 0.000 μB per formula unit; E = -46.5 eV for the cell shown
1.0
-4.120 -0.934 -0.653
0.864 -4.157 0.493
-0.401 3.482 11.540
K F Cl Zn
3 5 2 2
direct
0.833 0.833 0.666
0.000 0.000 0.000
0.167 0.167 0.334
0.416 0.916 0.831
0.916 0.416 0.831
0.084 0.584 0.169
0.584 0.084 0.169
0.500 0.500 0.000
0.689 0.689 0.379
0.311 0.311 0.621
0.587 0.587 0.174
0.413 0.413 0.826

=====

[3]
K2ZnCl2F2 (GGA-PBE, relaxed); energy relative to the elements, uncorrected = -14.9 eV per formula unit; crystal system = tetragonal; SG = I4/mmm, No. 139; volume = 20.79 A^3/atom; total magnetic moment = 0.000 μB per formula unit; E = -25.8 eV for the cell shown
1.0
4.372 0.000 0.000
0.000 4.372 0.000
-2.186 -2.186 7.614
Zn Cl K F
1 2 2 2
direct
0.000 0.000 0.000
0.156 0.156 0.312
0.844 0.844 0.688
0.376 0.376 0.752
0.624 0.624 0.248
0.000 0.500 0.000
0.500 0.000 0.000